# Sr6In5Pb

A geometry-optimized Sr6In5Pb structure (PBE, Alexandria via LeMat-Bulk).

a = 9.123 Å, b = 9.123 Å, c = 8.178 Å
α = 90.00°, β = 90.00°, γ = 143.25°
Positions (direct):
Sr 0.000 0.000 0.249
Sr 0.000 0.000 0.751
Sr 0.334 0.666 0.251
Sr 0.334 0.666 0.749
Sr 0.666 0.334 0.251
Sr 0.666 0.334 0.749
In 0.167 0.833 0.500
In 0.172 0.828 0.000
In 0.500 0.500 0.500
In 0.828 0.172 0.000
In 0.833 0.167 0.500
Pb 0.500 0.500 0.000

Properties
D(E_F)	5.9	states/eV per cell
calculated volume	33.94	A^3/atom
space-group type	Cmmm, No. 65
energy of formation	-0.4517	eV/atom